A plane-wave DFT calculation with GGA+U was carried out for a relaxed CsVF3 crystal.

CIF file:
```
data_CsVF3
_chemical_formula_sum 'Cs2 V2 F6'
_cell_length_a 3.8499
_cell_length_b 3.8499
_cell_length_c 15.5731
_cell_angle_alpha 90.00
_cell_angle_beta 90.00
_cell_angle_gamma 120.00
_symmetry_space_group_name_H-M 'P 63/m m c'
_symmetry_Int_Tables_number 194
_symmetry_space_group_name_Hall '-P 6c 2c'
loop_
_atom_site_label
_atom_site_fract_x
_atom_site_fract_y
_atom_site_fract_z
Cs1 0.0000 0.0000 0.0000
V1 0.3333 0.6667 0.2500
F1 0.0000 0.0000 0.2500
F2 0.3333 0.6667 0.1201
```

Properties
- Total energy: -5.1619 eV per atom